Record 1
K4Fe2N | PBE | relaxed

Results
- ρ (g/cm³) = 1.752

Unit cell a=5.429 b=5.429 c=18.142 alpha=90.00 beta=90.00 gamma=90.00
Atoms (fractional coordinates):
K 0.000 0.000 0.156
K 0.000 0.000 0.844
K 0.000 0.500 0.000
K 0.000 0.500 0.500
K 0.500 0.000 0.000
K 0.500 0.000 0.500
K 0.500 0.500 0.344
K 0.500 0.500 0.656
Fe 0.000 0.000 0.357
Fe 0.000 0.000 0.643
Fe 0.500 0.500 0.143
Fe 0.500 0.500 0.857
N 0.000 0.000 0.000
N 0.500 0.500 0.500

***

Record 2
KFeN3 | PBE | relaxed

Results
- ρ (g/cm³) = 3.381

Unit cell a=4.067 b=4.067 c=4.067 alpha=90.00 beta=90.00 gamma=90.00
Atoms (fractional coordinates):
K 0.000 0.000 0.000
Fe 0.500 0.500 0.500
N 0.000 0.000 0.500
N 0.000 0.500 0.000
N 0.500 0.000 0.000

***

Record 3
KNpFeN3 | PBE | relaxed

Results
- ρ (g/cm³) = 6.046

Unit cell a=7.765 b=3.432 c=8.025 alpha=90.00 beta=106.12 gamma=90.00
Atoms (fractional coordinates):
K 0.199 0.250 0.222
K 0.801 0.750 0.778
Np 0.337 0.750 0.843
Np 0.663 0.250 0.157
Fe 0.067 0.250 0.601
Fe 0.933 0.750 0.399
N 0.153 0.750 0.559
N 0.163 0.250 0.842
N 0.478 0.750 0.130
N 0.522 0.250 0.870
N 0.837 0.750 0.158
N 0.847 0.250 0.441

***

Summary of energy relative to the elements, uncorrected in eV per atom
1.192 3.939 -0.557
(order as listed above)